# 1
Compound: Br3OF
Source: the Alexandria database
Functional: PBE-GGA
Structure: optimized geometry

abc: 4.6610 4.6610 4.6610
angles: 90.00 90.00 90.00
Space group Pm-3m (No. 221)
Symmetry-distinct sites (fractional):
Br: 0.0000 0.0000 0.5000 x3
O: 0.0000 0.0000 0.0000 x1
F: 0.5000 0.5000 0.5000 x1

Calculated values
Magnetic moment = 1.11 μB per cell
Total DFT energy (no corrections) = -1.778 eV per atom
Excess energy over the best structure of this formula in the dataset = 0.0 kJ/mol of formula units
E_form (uncorrected) = 0.59 eV/atom

---

# 2
Compound: BrOF2
Source: the Alexandria database
Functional: PBE-GGA
Structure: optimized geometry

abc: 4.1679 4.6176 4.6824
angles: 111.21 97.46 101.11
Space group P1 (No. 1)
Symmetry-distinct sites (fractional):
Br: 0.0000 0.0000 0.0000 x1
O: 0.9218 0.6311 0.9857 x1
F: 0.2696 0.9321 0.6970 x1
F: 0.7504 0.1513 0.3076 x1

Calculated values
Magnetic moment = 1.00 μB per cell
Total DFT energy (no corrections) = -3.070 eV per atom
Excess energy over the best structure of this formula in the dataset = 0.0 kJ/mol of formula units
E_form (uncorrected) = -0.48 eV/atom

---

# 3
Compound: BrOF2
Source: the Alexandria database
Functional: PBE-GGA
Structure: optimized geometry

abc: 5.6749 5.6749 5.6749
angles: 90.00 90.00 90.00
Space group Fm-3m (No. 225)
Symmetry-distinct sites (fractional):
Br: 0.0000 0.0000 0.0000 x4
O: 0.0000 0.0000 0.5000 x4
F: 0.2500 0.2500 0.2500 x8

Calculated values
Magnetic moment = 0.00 μB per cell
Total DFT energy (no corrections) = -1.726 eV per atom
Excess energy over the best structure of this formula in the dataset = 518.5 kJ/mol of formula units
E_form (uncorrected) = 0.87 eV/atom

---

# 4
Compound: BrOF3
Source: the Alexandria database
Functional: PBE-GGA
Structure: optimized geometry

abc: 4.2875 4.2875 4.2875
angles: 90.00 90.00 90.00
Space group Pm-3m (No. 221)
Symmetry-distinct sites (fractional):
Br: 0.0000 0.0000 0.0000 x1
O: 0.5000 0.5000 0.5000 x1
F: 0.0000 0.0000 0.5000 x3

Calculated values
Magnetic moment = 2.09 μB per cell
Total DFT energy (no corrections) = -2.249 eV per atom
E_form (uncorrected) = 0.20 eV/atom

---

# 5
Compound: BrOF3
Source: the Alexandria database
Functional: PBE-GGA
Structure: optimized geometry

abc: 3.9778 3.9778 3.9778
angles: 90.00 90.00 90.00
Space group Pm-3m (No. 221)
Symmetry-distinct sites (fractional):
Br: 0.0000 0.0000 0.0000 x1
O: 0.5000 0.5000 0.5000 x1
F: 0.0000 0.5000 0.5000 x3

Calculated values
Magnetic moment = 2.57 μB per cell
Total DFT energy (no corrections) = -1.892 eV per atom
E_form (uncorrected) = 0.56 eV/atom

---

# 6
Compound: BrOF2
Source: the Alexandria database
Functional: PBE-GGA
Structure: optimized geometry

abc: 3.1888 3.1888 24.1977
angles: 90.00 90.00 120.00
Space group R-3m (No. 166, hexagonal axes)
Symmetry-distinct sites (fractional):
Br: 0.0000 0.0000 0.0000 x3
O: 0.0000 0.0000 0.5000 x3
F: 0.0000 0.0000 0.0776 x6

Calculated values
Magnetic moment = 6.63 μB per cell
Total DFT energy (no corrections) = -2.349 eV per atom
Excess energy over the best structure of this formula in the dataset = 278.3 kJ/mol of formula units
E_form (uncorrected) = 0.24 eV/atom

---

# 7
Compound: Br2O2F7
Source: the Alexandria database
Functional: PBE-GGA
Structure: optimized geometry

abc: 10.7353 6.5789 6.0005
angles: 90.00 109.17 90.00
Space group C2/m (No. 12)
Symmetry-distinct sites (fractional):
Br: 0.2068 0.0000 0.1831 x4
O: 0.0000 0.0924 0.5000 x4
F: 0.0000 0.0000 0.0000 x2
F: 0.1187 0.5000 0.6630 x4
F: 0.2093 0.2838 0.2019 x8

Calculated values
Magnetic moment = 5.19 μB per cell
Total DFT energy (no corrections) = -3.114 eV per atom
E_form (uncorrected) = -0.72 eV/atom

---

# 8
Compound: BrOF2
Source: the Alexandria database
Functional: PBE-GGA
Structure: optimized geometry

abc: 5.7476 5.7476 8.2756
angles: 90.00 90.00 90.00
Space group I4_1/amd (No. 141, origin choice 2)
Symmetry-distinct sites (fractional):
Br: 0.0000 0.2500 0.3750 x4
O: 0.0000 0.2500 0.8750 x4
F: 0.0000 0.0000 0.0000 x8

Calculated values
Magnetic moment = 4.62 μB per cell
Total DFT energy (no corrections) = -2.058 eV per atom
Excess energy over the best structure of this formula in the dataset = 390.6 kJ/mol of formula units
E_form (uncorrected) = 0.54 eV/atom